Record 1
This record from Alexandria describes NaLiLa2S4 after structural relaxation. The functional is PBE.

Properties
Space group: No. 74
ΔE_f (raw) (eV/atom): -1.826

POSCAR file:
```
NaLiLa2S4
1.0
-0.423 0.067 8.257
4.122 -7.163 0.259
3.224 6.438 -3.988
La Na S Li
4 2 8 2
direct
0.500 0.500 0.000
0.000 0.000 0.500
0.500 0.000 0.500
0.500 0.000 0.000
0.000 0.500 0.000
0.000 0.500 0.500
0.256 0.760 0.508
0.260 0.756 0.008
0.746 0.754 0.003
0.740 0.244 0.992
0.254 0.246 0.503
0.746 0.754 0.497
0.254 0.246 0.997
0.744 0.240 0.492
0.500 0.500 0.500
0.000 0.000 0.000
```



Record 2
This record from Alexandria describes NpHg2O8 after structural relaxation. The functional is PBE.

Properties
Space group: No. 12
ΔE_f (raw) (eV/atom): -0.813

POSCAR file:
```
NpHg2O8
1.0
3.851 0.060 0.932
0.911 7.148 1.993
-0.291 1.417 7.336
O Np Hg
8 1 2
direct
0.825 0.758 0.088
0.175 0.912 0.242
0.638 0.232 0.232
0.175 0.242 0.912
0.655 0.500 0.500
0.345 0.500 0.500
0.825 0.088 0.758
0.362 0.768 0.768
0.000 0.000 0.000
0.111 0.272 0.272
0.889 0.728 0.728
```



Record 3
This record from Alexandria describes Dy3HgS after structural relaxation. The functional is PBE.

Properties
Space group: No. 62
ΔE_f (raw) (eV/atom): -1.006
Energy above the most stable polymorph in this dataset (meV per atom): 0

POSCAR file:
```
Dy3HgS
1.0
-2.848 2.201 1.484
-6.076 -5.573 -3.394
0.344 -7.992 12.508
Dy S Hg
12 4 4
direct
0.250 0.313 0.789
0.750 0.187 0.289
0.250 0.813 0.711
0.750 0.337 0.028
0.250 0.663 0.972
0.250 0.520 0.392
0.750 0.980 0.892
0.750 0.837 0.472
0.750 0.480 0.608
0.750 0.687 0.211
0.250 0.163 0.528
0.250 0.020 0.108
0.750 0.328 0.449
0.750 0.828 0.051
0.250 0.672 0.551
0.250 0.172 0.949
0.250 0.911 0.315
0.250 0.411 0.185
0.750 0.589 0.815
0.750 0.089 0.685
```



Record 4
This record from Alexandria describes CuW2Br after structural relaxation. The functional is PBE.

Properties
Space group: No. 122
ΔE_f (raw) (eV/atom): 1.122
Energy above the most stable polymorph in this dataset (meV per atom): 596

POSCAR file:
```
CuW2Br
1.0
-3.559 -1.190 -0.626
1.344 -3.165 -1.627
-1.138 -6.614 7.481
W Cu Br
4 2 2
direct
0.150 0.625 0.250
0.875 0.850 0.750
0.600 0.125 0.250
0.375 0.400 0.750
0.500 0.500 0.000
0.250 0.750 0.500
0.750 0.250 0.500
0.000 0.000 0.000
```



Please write out number 1 again, unchanged.
This record from Alexandria describes NaLiLa2S4 after structural relaxation. The functional is PBE.

Properties
Space group: No. 74
ΔE_f (raw) (eV/atom): -1.826

POSCAR file:
```
NaLiLa2S4
1.0
-0.423 0.067 8.257
4.122 -7.163 0.259
3.224 6.438 -3.988
La Na S Li
4 2 8 2
direct
0.500 0.500 0.000
0.000 0.000 0.500
0.500 0.000 0.500
0.500 0.000 0.000
0.000 0.500 0.000
0.000 0.500 0.500
0.256 0.760 0.508
0.260 0.756 0.008
0.746 0.754 0.003
0.740 0.244 0.992
0.254 0.246 0.503
0.746 0.754 0.497
0.254 0.246 0.997
0.744 0.240 0.492
0.500 0.500 0.500
0.000 0.000 0.000
```



Question: Which of these has the lowest ΔE_f (raw)?
Answer: NaLiLa2S4